(1)
Here is a geometry-optimized MgGeP structure from Alexandria. Energies are from PBE.

a = 4.2844 Å, b = 4.9835 Å, c = 6.0163 Å
α = 102.49°, β = 93.99°, γ = 98.04°
Space group P1 (No. 1)
Symmetry-distinct sites (fractional):
Mg 0.0000 0.0000 0.0000 x1
Mg 0.4472 0.5579 0.0977 x1
Ge 0.4858 0.9259 0.5831 x1
Ge 0.9174 0.5942 0.5092 x1
P 0.5478 0.1102 0.2526 x1
P 0.9048 0.4522 0.8601 x1

Raw total energy in eV/cell: -24.49

---

(2)
Here is a geometry-optimized GaSn3 structure from Alexandria. Energies are from PBE.

a = 4.7077 Å, b = 4.7077 Å, c = 4.7077 Å
α = 90.00°, β = 90.00°, γ = 90.00°
Space group Pm-3m (No. 221)
Symmetry-distinct sites (fractional):
Ga 0.0000 0.0000 0.0000 x1
Sn 0.0000 0.5000 0.5000 x3

Raw total energy in eV/cell: -14.76

---

no.,ΔE_f (eV/atom)
1,-0.21
2,0.07